# 1
DFT (PBE) results for a geometry-optimized YPaSbO6 structure.

CIF file:
```
data_YPaSbO6
_cell_length_a 5.6242
_cell_length_b 5.6242
_cell_length_c 9.6170
_cell_angle_alpha 90.00
_cell_angle_beta 90.00
_cell_angle_gamma 120.00
_space_group_name_H-M_alt 'P -3 1 c'
_space_group_IT_number 163
_space_group_name_Hall '-P 3 2c'
loop_
_atom_site_label
_atom_site_fract_x
_atom_site_fract_y
_atom_site_fract_z
Y1 0.3333 0.6667 0.2500
Pa1 0.0000 0.0000 0.0000
Sb1 0.3333 0.6667 0.7500
O1 0.0190 0.3364 0.6288
```

## Properties
Size of the total moment: 0.00 μB per formula unit
Calculated total energy: -148.315 eV/cell

=====

# 2
DFT (PBE) results for a geometry-optimized YPaSb2O8 structure.

CIF file:
```
data_YPaSb2O8
_cell_length_a 7.221
_cell_length_b 7.221
_cell_length_c 7.165
_cell_angle_alpha 90.00
_cell_angle_beta 90.00
_cell_angle_gamma 90.00
_space_group_name_H-M_alt 'I -4 m 2'
_space_group_IT_number 119
_space_group_name_Hall 'I -4 -2'
loop_
_atom_site_label
_atom_site_fract_x
_atom_site_fract_y
_atom_site_fract_z
Y1 0.000 0.000 0.000
Pa1 0.000 0.500 0.750
Sb1 0.000 0.000 0.500
Sb2 0.000 0.500 0.250
O1 0.000 0.202 0.716
O2 0.000 0.315 0.060
```

## Properties
Size of the total moment: 0.00 μB per formula unit
Calculated total energy: -183.388 eV/cell

=====

# 3
DFT (PBE) results for a geometry-optimized ZrPaSbO6 structure.

CIF file:
```
data_ZrPaSbO6
_cell_length_a 5.7453
_cell_length_b 5.7453
_cell_length_c 9.3873
_cell_angle_alpha 90.00
_cell_angle_beta 90.00
_cell_angle_gamma 120.00
_space_group_name_H-M_alt 'P -3 1 c'
_space_group_IT_number 163
_space_group_name_Hall '-P 3 2c'
loop_
_atom_site_label
_atom_site_fract_x
_atom_site_fract_y
_atom_site_fract_z
Zr1 0.3333 0.6667 0.2500
Pa1 0.3333 0.6667 0.7500
Sb1 0.0000 0.0000 0.0000
O1 0.0076 0.3523 0.1346
```

## Properties
Size of the total moment: 0.00 μB per formula unit
Calculated total energy: -152.698 eV/cell

=====

# 4
DFT (PBE) results for a geometry-optimized Sc6PaO12 structure.

CIF file:
```
data_Sc6PaO12
_cell_length_a 9.5910
_cell_length_b 9.5910
_cell_length_c 8.8347
_cell_angle_alpha 90.00
_cell_angle_beta 90.00
_cell_angle_gamma 120.00
_space_group_name_H-M_alt 'R -3'
_space_group_IT_number 148
_space_group_name_Hall '-R 3'
loop_
_atom_site_label
_atom_site_fract_x
_atom_site_fract_y
_atom_site_fract_z
Sc1 0.0270 0.2437 0.1370
Pa1 0.0000 0.0000 0.5000
O1 0.0186 0.2024 0.3771
O2 0.0224 0.2103 0.8905
```

## Properties
Size of the total moment: 0.00 μB per formula unit
Calculated total energy: -514.128 eV/cell

=====

# 5
DFT (PBE) results for a geometry-optimized Sc3PaO structure.

CIF file:
```
data_Sc3PaO
_cell_length_a 4.561
_cell_length_b 4.561
_cell_length_c 4.561
_cell_angle_alpha 90.00
_cell_angle_beta 90.00
_cell_angle_gamma 90.00
_space_group_name_H-M_alt 'P m -3 m'
_space_group_IT_number 221
_space_group_name_Hall '-P 4 2 3'
loop_
_atom_site_label
_atom_site_fract_x
_atom_site_fract_y
_atom_site_fract_z
Sc1 0.000 0.000 0.500
Pa1 0.500 0.500 0.500
O1 0.000 0.000 0.000
```

## Properties
Size of the total moment: 0.00 μB per formula unit
Calculated total energy: -37.856 eV/cell

=====

# 6
DFT (PBE) results for a geometry-optimized ScPaO structure.

CIF file:
```
data_ScPaO
_cell_length_a 6.656
_cell_length_b 10.638
_cell_length_c 3.184
_cell_angle_alpha 90.00
_cell_angle_beta 90.00
_cell_angle_gamma 90.00
_space_group_name_H-M_alt 'P n n m'
_space_group_IT_number 58
_space_group_name_Hall '-P 2 2n'
loop_
_atom_site_label
_atom_site_fract_x
_atom_site_fract_y
_atom_site_fract_z
Sc1 0.226 0.000 0.000
Pa1 0.009 0.245 0.500
O1 0.205 0.368 0.000
```

## Properties
Size of the total moment: 0.00 μB per formula unit
Calculated total energy: -101.699 eV/cell

=====

# 7
DFT (PBE) results for a geometry-optimized Sc5Pa3O12 structure.

CIF file:
```
data_Sc5Pa3O12
_cell_length_a 12.993
_cell_length_b 12.993
_cell_length_c 12.993
_cell_angle_alpha 90.00
_cell_angle_beta 90.00
_cell_angle_gamma 90.00
_space_group_name_H-M_alt 'I a -3 d'
_space_group_IT_number 230
_space_group_name_Hall '-I 4bd 2c 3'
loop_
_atom_site_label
_atom_site_fract_x
_atom_site_fract_y
_atom_site_fract_z
Sc1 0.000 0.000 0.000
Sc2 0.000 0.250 0.375
Pa1 0.000 0.250 0.125
O1 0.025 0.063 0.651
```

## Properties
Size of the total moment: 5.83 μB per formula unit
Calculated total energy: -1467.733 eV/cell

=====

# 8
DFT (PBE) results for a geometry-optimized ScPa4O10 structure.

CIF file:
```
data_ScPa4O10
_cell_length_a 3.8491
_cell_length_b 3.8491
_cell_length_c 45.8016
_cell_angle_alpha 90.00
_cell_angle_beta 90.00
_cell_angle_gamma 120.00
_space_group_name_H-M_alt 'R -3 m'
_space_group_IT_number 166
_space_group_name_Hall '-R 3 2"'
loop_
_atom_site_label
_atom_site_fract_x
_atom_site_fract_y
_atom_site_fract_z
Sc1 0.0000 0.0000 0.0000
Pa1 0.0000 0.0000 0.2011
Pa2 0.0000 0.0000 0.3960
O1 0.0000 0.0000 0.0477
O2 0.0000 0.0000 0.1494
O3 0.0000 0.0000 0.2530
O4 0.0000 0.0000 0.3492
O5 0.0000 0.0000 0.4485
```

## Properties
Size of the total moment: 0.59 μB per formula unit
Calculated total energy: -441.943 eV/cell

=====

# 9
DFT (PBE) results for a geometry-optimized Sc2PaSeO8 structure.

CIF file:
```
data_Sc2PaSeO8
_cell_length_a 6.729
_cell_length_b 6.869
_cell_length_c 6.609
_cell_angle_alpha 90.00
_cell_angle_beta 90.00
_cell_angle_gamma 90.00
_space_group_name_H-M_alt 'C m m m'
_space_group_IT_number 65
_space_group_name_Hall '-C 2 2'
loop_
_atom_site_label
_atom_site_fract_x
_atom_site_fract_y
_atom_site_fract_z
Sc1 0.000 0.000 0.237
Pa1 0.000 0.500 0.500
Se1 0.000 0.500 0.000
O1 0.000 0.311 0.224
O2 0.188 0.000 0.500
O3 0.211 0.000 0.000
```

## Properties
Size of the total moment: 0.00 μB per formula unit
Calculated total energy: -192.389 eV/cell

=====

# 10
DFT (PBE) results for a geometry-optimized Sc2PaSiO8 structure.

CIF file:
```
data_Sc2PaSiO8
_cell_length_a 6.690
_cell_length_b 6.701
_cell_length_c 6.405
_cell_angle_alpha 90.00
_cell_angle_beta 90.00
_cell_angle_gamma 90.00
_space_group_name_H-M_alt 'C m m m'
_space_group_IT_number 65
_space_group_name_Hall '-C 2 2'
loop_
_atom_site_label
_atom_site_fract_x
_atom_site_fract_y
_atom_site_fract_z
Sc1 0.000 0.000 0.232
Pa1 0.000 0.500 0.500
Si1 0.000 0.500 0.000
O1 0.000 0.315 0.208
O2 0.188 0.000 0.500
O3 0.227 0.000 0.000
```

## Properties
Size of the total moment: 0.89 μB per formula unit
Calculated total energy: -207.175 eV/cell

=====

# 11
DFT (PBE) results for a geometry-optimized SmScPaO6 structure.

CIF file:
```
data_SmScPaO6
_cell_length_a 5.6702
_cell_length_b 5.6702
_cell_length_c 4.7109
_cell_angle_alpha 90.00
_cell_angle_beta 90.00
_cell_angle_gamma 120.00
_space_group_name_H-M_alt 'P 3 1 2'
_space_group_IT_number 149
_space_group_name_Hall 'P 3 2'
loop_
_atom_site_label
_atom_site_fract_x
_atom_site_fract_y
_atom_site_fract_z
Sm1 0.0000 0.0000 0.0000
Sc1 0.3333 0.6667 0.0000
Pa1 0.6667 0.3333 0.5000
O1 0.0017 0.3591 0.2416
```

## Properties
Size of the total moment: 0.73 μB per formula unit
Calculated total energy: -78.762 eV/cell

=====

# 12
DFT (PBE) results for a geometry-optimized Sc2PaSnO8 structure.

CIF file:
```
data_Sc2PaSnO8
_cell_length_a 6.852
_cell_length_b 6.999
_cell_length_c 6.678
_cell_angle_alpha 90.00
_cell_angle_beta 90.00
_cell_angle_gamma 90.00
_space_group_name_H-M_alt 'C m m m'
_space_group_IT_number 65
_space_group_name_Hall '-C 2 2'
loop_
_atom_site_label
_atom_site_fract_x
_atom_site_fract_y
_atom_site_fract_z
Sc1 0.000 0.000 0.239
Pa1 0.000 0.500 0.500
Sn1 0.000 0.500 0.000
O1 0.000 0.303 0.241
O2 0.191 0.000 0.500
O3 0.199 0.000 0.000
```

## Properties
Size of the total moment: 0.01 μB per formula unit
Calculated total energy: -199.314 eV/cell